(1)
VASP calculation (meta-GGA SCAN) on a crystal of KAl2Rh relaxed with PBEsol.

a = 2.913 Å, b = 4.938 Å, c = 4.938 Å
α = 90.00°, β = 90.00°, γ = 90.00°
Fractional coordinates of all 4 atoms:
K: 0.500 0.500 0.500
Rh: 0.500 0.000 0.000
Al: 0.000 0.000 0.500
Al: 0.000 0.500 0.000

Space group ... P4/mmm (123)
VASP energy ... -13.88 eV/atom
Spin magnetization ... 0.00 μB per formula unit
Volume ... 17.76 A^3/atom

=====

(2)
VASP calculation (meta-GGA SCAN) on a crystal of Ti2ZnHg relaxed with PBEsol.

a = 4.545 Å, b = 4.545 Å, c = 4.545 Å
α = 60.00°, β = 60.00°, γ = 60.00°
Fractional coordinates of all 4 atoms:
Zn: 0.000 0.000 0.000
Hg: 0.500 0.500 0.500
Ti: 0.250 0.250 0.250
Ti: 0.750 0.750 0.750

Space group ... Fm-3m (225)
VASP energy ... -28.62 eV/atom
Spin magnetization ... 0.00 μB per formula unit
Volume ... 16.60 A^3/atom

=====

(3)
VASP calculation (meta-GGA SCAN) on a crystal of Na3PRh relaxed with PBEsol.

a = 5.107 Å, b = 5.107 Å, c = 5.107 Å
α = 90.00°, β = 90.00°, γ = 90.00°
Fractional coordinates of all 5 atoms:
P: 0.500 0.500 0.500
Rh: 0.000 0.000 0.000
Na: 0.000 0.500 0.000
Na: 0.000 0.000 0.500
Na: 0.500 0.000 0.000

Space group ... Pm-3m (221)
VASP energy ... -10.48 eV/atom
Spin magnetization ... 1.62 μB per formula unit
Volume ... 26.65 A^3/atom

=====

(4)
VASP calculation (meta-GGA SCAN) on a crystal of Ga3SbPd relaxed with PBEsol.

a = 5.156 Å, b = 5.156 Å, c = 5.156 Å
α = 90.00°, β = 90.00°, γ = 90.00°
Fractional coordinates of all 5 atoms:
Sb: 0.000 0.000 0.000
Ga: 0.000 0.500 0.000
Ga: 0.000 0.000 0.500
Ga: 0.500 0.000 0.000
Pd: 0.500 0.500 0.500

Space group ... Pm-3m (221)
VASP energy ... -22.87 eV/atom
Spin magnetization ... 0.00 μB per formula unit
Volume ... 27.41 A^3/atom

=====

(5)
VASP calculation (meta-GGA SCAN) on a crystal of CaNdZn2 relaxed with PBEsol.

a = 5.095 Å, b = 5.095 Å, c = 5.095 Å
α = 60.00°, β = 60.00°, γ = 60.00°
Fractional coordinates of all 4 atoms:
Zn: 0.250 0.250 0.250
Zn: 0.750 0.750 0.750
Nd: 0.000 0.000 0.000
Ca: 0.500 0.500 0.500

Space group ... Fm-3m (225)
VASP energy ... -20.43 eV/atom
Spin magnetization ... 0.00 μB per formula unit
Volume ... 23.37 A^3/atom

=====

(6)
VASP calculation (meta-GGA SCAN) on a crystal of BaSbPt2 relaxed with PBEsol.

a = 3.559 Å, b = 5.017 Å, c = 5.017 Å
α = 90.00°, β = 90.00°, γ = 90.00°
Fractional coordinates of all 4 atoms:
Ba: 0.500 0.000 0.000
Pt: 0.000 0.000 0.500
Pt: 0.000 0.500 0.000
Sb: 0.500 0.500 0.500

Space group ... P4/mmm (123)
VASP energy ... -54.53 eV/atom
Spin magnetization ... 0.00 μB per formula unit
Volume ... 22.39 A^3/atom

=====

(7)
VASP calculation (meta-GGA SCAN) on a crystal of NaLiZnS2 relaxed with PBEsol.

a = 3.920 Å, b = 3.920 Å, c = 6.740 Å
α = 90.00°, β = 90.00°, γ = 120.00°
Fractional coordinates of all 5 atoms:
Na: 0.000 0.000 0.975
Zn: 0.333 0.667 0.388
S: 0.667 0.333 0.266
S: 0.333 0.667 0.729
Li: 0.667 0.333 0.642

Space group ... P3m1 (156)
VASP energy ... -9.11 eV/atom
Spin magnetization ... 0.00 μB per formula unit
Volume ... 17.94 A^3/atom

=====

(8)
VASP calculation (meta-GGA SCAN) on a crystal of LiMg3 relaxed with PBEsol.

a = 5.376 Å, b = 6.283 Å, c = 10.090 Å
α = 90.00°, β = 90.00°, γ = 90.00°
Fractional coordinates of all 16 atoms:
Li: 0.906 0.376 0.250
Li: 0.594 0.876 0.750
Li: 0.406 0.124 0.250
Li: 0.094 0.624 0.750
Mg: 0.083 0.123 0.750
Mg: 0.752 0.626 0.997
Mg: 0.752 0.626 0.503
Mg: 0.748 0.126 0.497
Mg: 0.748 0.126 0.003
Mg: 0.417 0.623 0.250
Mg: 0.583 0.377 0.750
Mg: 0.252 0.874 0.997
Mg: 0.252 0.874 0.503
Mg: 0.248 0.374 0.497
Mg: 0.248 0.374 0.003
Mg: 0.917 0.877 0.250

Space group ... Pnma (62)
VASP energy ... -4.35 eV/atom
Spin magnetization ... 0.12 μB per formula unit
Volume ... 21.30 A^3/atom

=====

(9)
VASP calculation (meta-GGA SCAN) on a crystal of Er2ZnS4 relaxed with PBEsol.

a = 6.215 Å, b = 7.727 Å, c = 13.245 Å
α = 90.00°, β = 90.00°, γ = 90.00°
Fractional coordinates of all 28 atoms:
Er: 0.505 0.250 0.235
Er: 0.995 0.250 0.735
Er: 0.495 0.750 0.765
Er: 0.005 0.750 0.265
Er: 0.000 0.500 0.000
Er: 0.500 0.000 0.500
Er: 0.000 0.000 0.000
Er: 0.500 0.500 0.500
Zn: 0.092 0.250 0.408
Zn: 0.408 0.250 0.908
Zn: 0.908 0.750 0.592
Zn: 0.592 0.750 0.092
S: 0.727 0.250 0.410
S: 0.773 0.250 0.910
S: 0.273 0.750 0.590
S: 0.227 0.750 0.090
S: 0.244 0.250 0.571
S: 0.256 0.250 0.071
S: 0.756 0.750 0.429
S: 0.744 0.750 0.929
S: 0.258 0.488 0.331
S: 0.242 0.012 0.831
S: 0.742 0.988 0.669
S: 0.758 0.512 0.169
S: 0.742 0.512 0.669
S: 0.758 0.988 0.169
S: 0.258 0.012 0.331
S: 0.242 0.488 0.831

Space group ... Pnma (62)
VASP energy ... -23.75 eV/atom
Spin magnetization ... 0.00 μB per formula unit
Volume ... 22.72 A^3/atom

=====

(10)
VASP calculation (meta-GGA SCAN) on a crystal of K3BaTe relaxed with PBEsol.

a = 6.699 Å, b = 6.699 Å, c = 6.699 Å
α = 90.00°, β = 90.00°, γ = 90.00°
Fractional coordinates of all 5 atoms:
K: 0.000 0.500 0.000
K: 0.000 0.000 0.500
K: 0.500 0.000 0.000
Te: 0.000 0.000 0.000
Ba: 0.500 0.500 0.500

Space group ... Pm-3m (221)
VASP energy ... -20.77 eV/atom
Spin magnetization ... 1.00 μB per formula unit
Volume ... 60.12 A^3/atom

=====

(11)
VASP calculation (meta-GGA SCAN) on a crystal of Nd12Mn5C15 relaxed with PBEsol.

a = 5.238 Å, b = 10.634 Å, c = 10.634 Å
α = 120.00°, β = 90.00°, γ = 90.00°
Fractional coordinates of all 32 atoms:
Nd: 0.500 0.206 0.206
Nd: 0.500 0.000 0.794
Nd: 0.500 0.794 0.000
Nd: 0.000 0.729 0.187
Nd: 0.000 0.459 0.271
Nd: 0.000 0.541 0.813
Nd: 0.000 0.813 0.541
Nd: 0.000 0.187 0.729
Nd: 0.000 0.271 0.459
Nd: 0.500 0.576 0.576
Nd: 0.500 0.000 0.424
Nd: 0.500 0.424 0.000
Mn: 0.000 0.846 0.846
Mn: 0.000 0.000 0.154
Mn: 0.000 0.154 0.000
Mn: 0.500 0.667 0.333
Mn: 0.500 0.333 0.667
C: 0.000 0.679 0.679
C: 0.000 0.000 0.321
C: 0.000 0.321 0.000
C: 0.000 0.192 0.192
C: 0.000 0.000 0.808
C: 0.000 0.808 0.000
C: 0.000 0.552 0.552
C: 0.000 0.000 0.448
C: 0.000 0.448 0.000
C: 0.500 0.712 0.195
C: 0.500 0.483 0.288
C: 0.500 0.517 0.805
C: 0.500 0.805 0.517
C: 0.500 0.195 0.712
C: 0.500 0.288 0.483

Space group ... P-62m (189)
VASP energy ... -24.27 eV/atom
Spin magnetization ... 2.26 μB per formula unit
Volume ... 16.03 A^3/atom

=====

(12)
VASP calculation (meta-GGA SCAN) on a crystal of ZrZn2Mo relaxed with PBEsol.

a = 2.809 Å, b = 2.809 Å, c = 9.614 Å
α = 81.60°, β = 81.60°, γ = 60.00°
Fractional coordinates of all 4 atoms:
Mo: 0.000 0.000 0.000
Zn: 0.255 0.255 0.235
Zn: 0.745 0.745 0.765
Zr: 0.500 0.500 0.500

Space group ... R-3m (166)
VASP energy ... -23.01 eV/atom
Spin magnetization ... 0.00 μB per formula unit
Volume ... 16.18 A^3/atom